Here is ZnIn2Re after structural relaxation from the Alexandria database. Energies are from GGA-PBE.

Results
Mass density (g/cm³): 10.6
ΔE_f (eV/atom): 0.47
Calculated total energy (eV/atom): -4.33
Total moment (μB/f.u.): 0.00

Unit cell a=9.1896 b=9.1896 c=9.1896 alpha=19.48 beta=19.48 gamma=19.48
Last column: nearest neighbours and their distance in Å.
Fractional coordinates of all 4 atoms:
In 0.9985 0.9985 0.9985  3 Re 2.85, 3 Zn 2.91, 6 In 3.11
In 0.5015 0.5015 0.5015  3 Re 2.85, 3 Zn 2.91, 6 In 3.11
Re 0.2500 0.2500 0.2500  6 In 2.85, 6 Re 3.11
Zn 0.7500 0.7500 0.7500  6 In 2.91, 6 Zn 3.11